1.
{"formula": "CsAcSiO4", "functional": "PBE", "state": "optimized geometry", "raw_formation_energy_mev_per_atom": -2865, "lattice": [[6.144, 0.000, 0.000], [0.000, 5.831, 0.000], [-2.187, 0.000, 7.917]], "species": ["Cs", "Cs", "Ac", "Ac", "Si", "Si", "O", "O", "O", "O", "O", "O", "O", "O"], "fractional_positions": [[0.219, 0.250, 0.431], [0.781, 0.750, 0.569], [0.261, 0.250, 0.946], [0.739, 0.750, 0.054], [0.271, 0.750, 0.161], [0.729, 0.250, 0.839], [0.105, 0.750, 0.288], [0.105, 0.750, 0.964], [0.442, 0.525, 0.180], [0.442, 0.975, 0.180], [0.558, 0.025, 0.820], [0.558, 0.475, 0.820], [0.895, 0.250, 0.036], [0.895, 0.250, 0.712]]}



2.
{"formula": "NaGe4O8", "functional": "PBE", "state": "optimized geometry", "raw_formation_energy_mev_per_atom": -1484, "lattice": [[5.146, -2.971, 0.000], [5.146, 2.971, 0.000], [-5.090, 0.000, 5.887]], "species": ["Na", "Ge", "Ge", "Ge", "Ge", "O", "O", "O", "O", "O", "O", "O", "O"], "fractional_positions": [[0.000, 0.000, 0.000], [0.249, 0.751, 0.500], [0.263, 0.263, 0.526], [0.737, 0.737, 0.474], [0.751, 0.249, 0.500], [0.159, 0.674, 0.672], [0.167, 0.167, 0.671], [0.326, 0.841, 0.328], [0.333, 0.333, 0.339], [0.667, 0.667, 0.661], [0.674, 0.159, 0.672], [0.833, 0.833, 0.329], [0.841, 0.326, 0.328]]}



3.
{"formula": "RbAgHF6", "functional": "PBE", "state": "optimized geometry", "lattice": [[4.921, 0.000, 0.000], [-1.396, 4.808, 0.000], [-0.761, -0.648, 6.032]], "species": ["Rb", "Ag", "H", "F", "F", "F", "F", "F", "F"], "fractional_positions": [[0.000, 0.000, 0.000], [0.506, 0.497, 0.499], [0.006, 0.997, 0.500], [0.119, 0.218, 0.585], [0.290, 0.567, 0.227], [0.449, 0.805, 0.685], [0.562, 0.189, 0.313], [0.721, 0.428, 0.772], [0.893, 0.775, 0.414]]}



4.
{"formula": "Li2MnW", "functional": "PBE", "state": "optimized geometry", "de_polymorph_mev_per_atom": 85, "e_form_ev_per_fu": 1.6, "lattice": [[3.086, 0.000, 0.000], [0.000, 3.086, 0.000], [0.000, 0.000, 6.497]], "species": ["Li", "Li", "Mn", "W"], "fractional_positions": [[0.000, 0.000, 0.000], [0.500, 0.500, 0.270], [0.000, 0.000, 0.546], [0.500, 0.500, 0.712]]}



Number 1: DFT total energy -7.181 eV per atom, M_tot 0.00 Bohr magnetons per cell, theoretical density 5292 kg/m3. Number 2: DFT total energy -6.057 eV per atom, M_tot 0.00 Bohr magnetons per cell, theoretical density 4072 kg/m3. Number 3: DFT total energy -3.513 eV per atom, M_tot 0.92 Bohr magnetons per cell, theoretical density 3587 kg/m3. Number 4: DFT total energy -6.096 eV per atom, M_tot 1.67 Bohr magnetons per cell, theoretical density 6780 kg/m3.